Entry 1:
Density functional theory data (GGA-PBE) for an optimized crystal structure of NaMg6BO8.

It has space group P4/mmm (No. 123), with a = 4.400 Å, b = 4.400 Å, c = 8.030 Å, α = 90.00°, β = 90.00° and γ = 90.00°. The inequivalent atoms are Na at (0.000, 0.000, 0.000), Mg at (0.000, 0.500, 0.255), Mg at (0.500, 0.500, 0.000), Mg at (0.500, 0.500, 0.500), B at (0.000, 0.000, 0.500), O at (0.000, 0.000, 0.324), O at (0.000, 0.500, 0.000), O at (0.000, 0.500, 0.500) and O at (0.500, 0.500, 0.250).

For the total energy, the calculation gives -94.21 eV for the cell shown. For the spin magnetization, the calculation gives 0.00 μB per formula unit. The polymorph energy (0 for the lowest one) comes out at 0 meV/atom. The calculation puts the uncorrected formation energy at -2311 meV per atom.

Entry 2:
Density functional theory data (GGA-PBE) for an optimized crystal structure of Na2MgBOs.

It has space group P4/mmm (No. 123), with a = 4.807 Å, b = 4.807 Å, c = 4.140 Å, α = 90.00°, β = 90.00° and γ = 90.00°. The inequivalent atoms are Na at (0.000, 0.500, 0.000), Mg at (0.000, 0.000, 0.500), B at (0.500, 0.500, 0.000) and Os at (0.500, 0.500, 0.500).

For the total energy, the calculation gives -18.76 eV for the cell shown. For the spin magnetization, the calculation gives 0.80 μB per formula unit.

Entry 3:
Density functional theory data (GGA-PBE) for an optimized crystal structure of Na2MgB2Pd5.

It has space group P4/mbm (No. 127), with a = 10.014 Å, b = 10.014 Å, c = 2.960 Å, α = 90.00°, β = 90.00° and γ = 90.00°. The inequivalent atoms are Na at (0.178, 0.322, 0.000), Mg at (0.000, 0.000, 0.000), B at (0.123, 0.623, 0.000), Pd at (0.000, 0.500, 0.500) and Pd at (0.069, 0.773, 0.500).

For the total energy, the calculation gives -93.03 eV for the cell shown. For the spin magnetization, the calculation gives 0.00 μB per formula unit.

Entry 4:
Density functional theory data (GGA-PBE) for an optimized crystal structure of NaMgBPt2.

It has space group P4/mmm (No. 123), with a = 4.207 Å, b = 4.207 Å, c = 4.550 Å, α = 90.00°, β = 90.00° and γ = 90.00°. The inequivalent atoms are Na at (0.000, 0.000, 0.000), Mg at (0.500, 0.500, 0.000), B at (0.500, 0.500, 0.500) and Pt at (0.000, 0.500, 0.500).

For the total energy, the calculation gives -23.15 eV for the cell shown. For the spin magnetization, the calculation gives 0.00 μB per formula unit.

Entry 5:
Density functional theory data (GGA-PBE) for an optimized crystal structure of NaMgBRh2.

It has space group P4/mmm (No. 123), with a = 4.146 Å, b = 4.146 Å, c = 4.456 Å, α = 90.00°, β = 90.00° and γ = 90.00°. The inequivalent atoms are Na at (0.000, 0.000, 0.000), Mg at (0.500, 0.500, 0.000), B at (0.500, 0.500, 0.500) and Rh at (0.000, 0.500, 0.500).

For the total energy, the calculation gives -24.91 eV for the cell shown. For the spin magnetization, the calculation gives 0.00 μB per formula unit.

Entry 6:
Density functional theory data (GGA-PBE) for an optimized crystal structure of Na2MgBS4.

It has space group I-42m (No. 121), with a = 6.944 Å, b = 6.944 Å, c = 6.238 Å, α = 90.00°, β = 90.00° and γ = 90.00°. The inequivalent atoms are Na at (0.000, 0.500, 0.000), Mg at (0.000, 0.000, 0.000), B at (0.000, 0.000, 0.500) and S at (0.158, 0.158, 0.689).

For the total energy, the calculation gives -67.20 eV for the cell shown. For the spin magnetization, the calculation gives 0.00 μB per formula unit. The calculation puts the uncorrected formation energy at -772 meV per atom.

Entry 7:
Density functional theory data (GGA-PBE) for an optimized crystal structure of Mg2NbB.

It has space group P1 (No. 1), with a = 3.175 Å, b = 3.176 Å, c = 15.875 Å, α = 95.70°, β = 90.04° and γ = 119.95°. The inequivalent atoms are Mg at (0.000, 0.000, 0.000), Mg at (0.107, 0.221, 0.331), Mg at (0.389, 0.778, 0.164), Mg at (0.609, 0.225, 0.835), Nb at (0.826, 0.660, 0.487), Nb at (0.890, 0.788, 0.679), B at (0.191, 0.391, 0.584) and B at (0.525, 0.057, 0.583).

For the total energy, the calculation gives -42.04 eV for the cell shown. For the spin magnetization, the calculation gives 0.00 μB per formula unit.

Entry 8:
Density functional theory data (GGA-PBE) for an optimized crystal structure of Mg2NbB.

It has space group R-3m (No. 166, hexagonal axes), with a = 3.1769 Å, b = 3.1769 Å, c = 47.2204 Å, α = 90.00°, β = 90.00° and γ = 120.00°. The inequivalent atoms are Mg at (0.0000, 0.0000, 0.0827), Mg at (0.0000, 0.0000, 0.3610), Nb at (0.0000, 0.0000, 0.4679) and B at (0.0000, 0.0000, 0.1667).

For the total energy, the calculation gives -126.28 eV for the cell shown. For the spin magnetization, the calculation gives 0.00 μB per formula unit.

Entry 9:
Density functional theory data (GGA-PBE) for an optimized crystal structure of MgNb3B.

It has space group Pm-3m (No. 221), with a = 4.427 Å, b = 4.427 Å, c = 4.427 Å, α = 90.00°, β = 90.00° and γ = 90.00°. The inequivalent atoms are Mg at (0.000, 0.000, 0.000), Nb at (0.000, 0.500, 0.500) and B at (0.500, 0.500, 0.500).

For the total energy, the calculation gives -38.22 eV for the cell shown. For the spin magnetization, the calculation gives 0.00 μB per formula unit. The polymorph energy (0 for the lowest one) comes out at 0 meV/atom.

Entry 10:
Density functional theory data (GGA-PBE) for an optimized crystal structure of Mg2NbB.

It has space group I-42d (No. 122), with a = 7.408 Å, b = 7.408 Å, c = 4.854 Å, α = 90.00°, β = 90.00° and γ = 90.00°. The inequivalent atoms are Mg at (0.170, 0.250, 0.125), Nb at (0.000, 0.000, 0.500) and B at (0.000, 0.000, 0.000).

For the total energy, the calculation gives -70.81 eV for the cell shown. For the spin magnetization, the calculation gives 0.00 μB per formula unit.

Entry 11:
Density functional theory data (GGA-PBE) for an optimized crystal structure of Mg2NbB.

It has space group I4/mmm (No. 139), with a = 3.212 Å, b = 3.212 Å, c = 13.497 Å, α = 90.00°, β = 90.00° and γ = 90.00°. The inequivalent atoms are Mg at (0.000, 0.000, 0.169), Nb at (0.000, 0.000, 0.500) and B at (0.000, 0.000, 0.000).

For the total energy, the calculation gives -40.44 eV for the cell shown. For the spin magnetization, the calculation gives 0.00 μB per formula unit.

Entry 12:
Density functional theory data (GGA-PBE) for an optimized crystal structure of MgNb2B.

It has space group Fm-3m (No. 225), with a = 6.201 Å, b = 6.201 Å, c = 6.201 Å, α = 90.00°, β = 90.00° and γ = 90.00°. The inequivalent atoms are Mg at (0.000, 0.000, 0.000), Nb at (0.250, 0.250, 0.250) and B at (0.000, 0.000, 0.500).

For the total energy, the calculation gives -103.49 eV for the cell shown. For the spin magnetization, the calculation gives 0.00 μB per formula unit. The polymorph energy (0 for the lowest one) comes out at 273 meV/atom.